Record 1
Below is a relaxed NaGdInGa crystal, with properties calculated at the GGA-PBE level.

Output
- calculated volume (Å³ per atom) = 24.67
- DFT total energy (eV/atom) = -5.566
- Fermi-level density of states (states/eV/atom) = 0.51
- magnetic moment (μB/atom) = 1.7527
- energy relative to the elements (eV/f.u.) = -1.1

Unit cell a=7.336 b=7.336 c=7.336 alpha=90.00 beta=90.00 gamma=90.00
Space group F-43m (No. 216)
One atom of each set of equivalent atoms:
Na 0.000 0.000 0.000 [4 per cell]
Gd 0.000 0.000 0.500 [4 per cell]
In 0.250 0.250 0.250 [4 per cell]
Ga 0.250 0.250 0.750 [4 per cell]

Record 2
Below is a relaxed Y2TlPd6 crystal, with properties calculated at the GGA-PBE level.

Output
- calculated volume (Å³ per atom) = 21.41
- DFT total energy (eV/atom) = -5.590
- Fermi-level density of states (states/eV/atom) = 0.47
- magnetic moment (μB/atom) = 0.0000
- energy relative to the elements (eV/f.u.) = -3.9

Unit cell a=3.709 b=8.288 c=12.540 alpha=90.00 beta=90.00 gamma=90.00
Space group Immm (No. 71)
One atom of each set of equivalent atoms:
Y 0.000 0.000 0.161 [4 per cell]
Tl 0.000 0.000 0.500 [2 per cell]
Pd 0.000 0.237 0.334 [8 per cell]
Pd 0.000 0.246 0.000 [4 per cell]

Record 3
Below is a relaxed MgTlPt2Cl crystal, with properties calculated at the GGA-PBE level.

Output
- calculated volume (Å³ per atom) = 28.07
- DFT total energy (eV/atom) = -2.992
- formation energy without anion corrections (eV per formula unit) = 2.9
- Fermi-level density of states (states/eV/atom) = 0.40
- magnetic moment (μB/atom) = 0.0000

Unit cell a=5.090 b=5.090 c=5.419 alpha=90.00 beta=90.00 gamma=90.00
Space group P4/mmm (No. 123)
One atom of each set of equivalent atoms:
Mg 0.000 0.000 0.000 [1 per cell]
Tl 0.500 0.500 0.500 [1 per cell]
Pt 0.000 0.500 0.500 [2 per cell]
Cl 0.500 0.500 0.000 [1 per cell]

Record 4
Below is a relaxed LaYHo2Te6 crystal, with properties calculated at the GGA-PBE level.

Output
- calculated volume (Å³ per atom) = 37.13
- DFT total energy (eV/atom) = -5.338
- formation energy without anion corrections (eV per formula unit) = -14.0
- magnetic moment (μB/atom) = 0.0000

Unit cell a=7.8075 b=7.8075 c=21.0984 alpha=90.00 beta=90.00 gamma=120.00
Space group R3 (No. 146, hexagonal axes)
One atom of each set of equivalent atoms:
La 0.0000 0.0000 0.0000 [3 per cell]
Y 0.0000 0.0000 0.4949 [3 per cell]
Ho 0.0000 0.0000 0.3059 [3 per cell]
Ho 0.0000 0.0000 0.8089 [3 per cell]
Te 0.0065 0.3185 0.8984 [9 per cell]
Te 0.0169 0.6410 0.0662 [9 per cell]